(1)
VASP calculation (GGA-PBE) on crystalline Sr3Hg3Sb4 at its relaxed geometry.

Structure (POSCAR):
```
Sr3Hg3Sb4
1.0
-5.337 5.337 5.337
5.337 -5.337 5.337
5.337 5.337 -5.337
Sr Hg Sb
6 6 8
Cartesian
8.006 1.334 0.000
4.003 0.000 2.669
2.669 4.003 0.000
0.000 2.669 4.003
1.334 0.000 8.006
0.000 8.006 1.334
5.337 -2.669 4.003
4.003 5.337 -2.669
5.337 2.669 1.334
2.669 1.334 5.337
1.334 5.337 2.669
-2.669 4.003 5.337
4.445 0.892 -0.892
7.114 -1.777 1.777
0.892 0.892 0.892
0.892 -0.892 4.445
-0.892 4.445 0.892
1.777 7.114 -1.777
3.560 3.560 3.560
-1.777 1.777 7.114
```

Computed properties:
The density of states at the Fermi level is 0.98 states/eV/cell. The value obtained for the uncorrected formation energy is -0.581 eV/atom.


(2)
VASP calculation (GGA-PBE) on crystalline SrHgSb4 at its relaxed geometry.

Structure (POSCAR):
```
SrHgSb4
1.0
0.000 4.522 4.522
4.522 0.000 4.522
4.522 4.522 0.000
Sr Hg Sb
1 1 4
Cartesian
0.000 0.000 0.000
6.783 6.783 6.783
3.402 3.402 3.402
5.642 5.642 3.402
5.642 3.402 5.642
3.402 5.642 5.642
```

Computed properties:
The density of states at the Fermi level is 0.72 states/eV/cell. The value obtained for the uncorrected formation energy is -0.252 eV/atom.